# 1
VASP calculation (PBE) on a relaxed structure of Ac2AsN.

Calculated values
V in Å³ per atom: 28.4
Formation energy without anion corrections in eV/atom: -1.280
SG: Pnma
Total energy in eV per formula unit: -26.311
Size of the total moment in μB/f.u.: 0.000

abc: 7.566 4.302 13.982
angles: 90.00 90.00 90.00
Fractional coordinates of all 16 atoms:
Ac  0.092  0.250  0.235
Ac  0.206  0.250  0.973
Ac  0.294  0.750  0.473
Ac  0.408  0.750  0.735
Ac  0.592  0.250  0.265
Ac  0.706  0.250  0.527
Ac  0.794  0.750  0.027
Ac  0.908  0.750  0.765
As  0.120  0.250  0.645
As  0.380  0.750  0.145
As  0.620  0.250  0.855
As  0.880  0.750  0.355
N  0.064  0.750  0.911
N  0.436  0.250  0.411
N  0.564  0.750  0.589
N  0.936  0.250  0.089

***

# 2
VASP calculation (PBE) on a relaxed structure of Ac3Nb2As2N4.

Calculated values
V in Å³ per atom: 19.3
Formation energy without anion corrections in eV/atom: -1.136
SG: I4/mmm
Total energy in eV per formula unit: -87.557
Size of the total moment in μB/f.u.: 0.000

abc: 12.017 12.017 12.017
angles: 159.52 159.52 29.12
Fractional coordinates of all 11 atoms:
Ac  0.000  0.000  0.000
Ac  0.161  0.161  0.000
Ac  0.839  0.839  0.000
Nb  0.414  0.414  0.000
Nb  0.586  0.586  0.000
As  0.303  0.303  0.000
As  0.697  0.697  0.000
N  0.077  0.577  0.500
N  0.423  0.923  0.500
N  0.577  0.077  0.500
N  0.923  0.423  0.500

***

# 3
VASP calculation (PBE) on a relaxed structure of AcNiAsN.

Calculated values
V in Å³ per atom: 17.3
Formation energy without anion corrections in eV/atom: -0.826
SG: P4/nmm
Total energy in eV per formula unit: -26.169
Size of the total moment in μB/f.u.: 0.000

abc: 4.017 4.017 8.559
angles: 90.00 90.00 90.00
Fractional coordinates of all 8 atoms:
Ac  0.250  0.250  0.165
Ac  0.750  0.750  0.835
Ni  0.250  0.750  0.500
Ni  0.750  0.250  0.500
As  0.250  0.250  0.642
As  0.750  0.750  0.358
N  0.250  0.250  0.870
N  0.750  0.750  0.130

***

# 4
VASP calculation (PBE) on a relaxed structure of AcNi2AsN.

Calculated values
V in Å³ per atom: 15.6
Formation energy without anion corrections in eV/atom: -0.640
SG: Cmcm
Total energy in eV per formula unit: -31.848
Size of the total moment in μB/f.u.: 0.001

abc: 6.068 6.068 7.089
angles: 90.00 90.00 143.17
Fractional coordinates of all 10 atoms:
Ac  0.042  0.958  0.750
Ac  0.958  0.042  0.250
Ni  0.331  0.669  0.554
Ni  0.331  0.669  0.946
Ni  0.669  0.331  0.054
Ni  0.669  0.331  0.446
As  0.229  0.771  0.250
As  0.771  0.229  0.750
N  0.500  0.500  0.000
N  0.500  0.500  0.500

***

# 5
VASP calculation (PBE) on a relaxed structure of Ac3Np2As2N5.

Calculated values
V in Å³ per atom: 19.6
Formation energy without anion corrections in eV/atom: -1.193
SG: I4/mmm
Total energy in eV per formula unit: -103.448
Size of the total moment in μB/f.u.: 2.055

abc: 12.755 12.755 12.755
angles: 160.33 160.33 27.96
Fractional coordinates of all 12 atoms:
Ac  0.000  0.000  0.000
Ac  0.171  0.171  0.000
Ac  0.829  0.829  0.000
Np  0.415  0.415  0.000
Np  0.585  0.585  0.000
As  0.301  0.301  0.000
As  0.699  0.699  0.000
N  0.084  0.584  0.500
N  0.416  0.916  0.500
N  0.500  0.500  0.000
N  0.584  0.084  0.500
N  0.916  0.416  0.500

***

# 6
VASP calculation (PBE) on a relaxed structure of Ac2NpAs2N2.

Calculated values
V in Å³ per atom: 23.1
Formation energy without anion corrections in eV/atom: -1.293
SG: C2/m
Total energy in eV per formula unit: -56.159
Size of the total moment in μB/f.u.: 0.987

abc: 6.436 6.436 7.334
angles: 118.40 118.40 38.10
Fractional coordinates of all 7 atoms:
Ac  0.189  0.189  0.221
Ac  0.811  0.811  0.779
Np  0.000  0.000  0.500
As  0.448  0.448  0.192
As  0.552  0.552  0.808
N  0.176  0.176  0.577
N  0.824  0.824  0.423

***

# 7
VASP calculation (PBE) on a relaxed structure of Ac4AsN2O.

Calculated values
V in Å³ per atom: 28.6
Formation energy without anion corrections in eV/atom: -1.421
SG: I-42m
Total energy in eV per formula unit: -54.059
Size of the total moment in μB/f.u.: 0.803

abc: 7.508 7.508 7.508
angles: 132.01 132.01 70.21
Fractional coordinates of all 8 atoms:
Ac  0.137  0.137  0.562
Ac  0.424  0.863  0.000
Ac  0.576  0.576  0.438
Ac  0.863  0.424  0.000
As  0.000  0.000  0.000
N  0.250  0.750  0.500
N  0.750  0.250  0.500
O  0.500  0.500  0.000

***

# 8
VASP calculation (PBE) on a relaxed structure of Ac6As3P2N.

Calculated values
V in Å³ per atom: 30.5
Formation energy without anion corrections in eV/atom: -1.324
SG: C2/m
Total energy in eV per formula unit: -73.638
Size of the total moment in μB/f.u.: 0.000

abc: 9.858 9.858 8.869
angles: 103.19 103.19 25.90
Fractional coordinates of all 12 atoms:
Ac  0.000  0.000  0.230
Ac  0.000  0.000  0.770
Ac  0.332  0.332  0.417
Ac  0.346  0.346  0.920
Ac  0.654  0.654  0.080
Ac  0.668  0.668  0.583
As  0.169  0.169  0.837
As  0.500  0.500  0.500
As  0.831  0.831  0.163
P  0.164  0.164  0.331
P  0.836  0.836  0.669
N  0.500  0.500  0.000

***

# 9
VASP calculation (PBE) on a relaxed structure of Ac3AsPN.

Calculated values
V in Å³ per atom: 32.3
Formation energy without anion corrections in eV/atom: -1.271
SG: P2_1/m
Total energy in eV per formula unit: -38.337
Size of the total moment in μB/f.u.: 0.000

abc: 9.061 4.401 9.891
angles: 90.00 101.00 90.00
Fractional coordinates of all 12 atoms:
Ac  0.085  0.250  0.344
Ac  0.328  0.250  0.986
Ac  0.404  0.750  0.661
Ac  0.596  0.250  0.339
Ac  0.672  0.750  0.014
Ac  0.915  0.750  0.656
As  0.315  0.750  0.284
As  0.685  0.250  0.716
P  0.158  0.250  0.650
P  0.842  0.750  0.350
N  0.411  0.750  0.900
N  0.589  0.250  0.100

***

# 10
VASP calculation (PBE) on a relaxed structure of Ac4As2PN.

Calculated values
V in Å³ per atom: 29.6
Formation energy without anion corrections in eV/atom: -1.255
SG: P2/m
Total energy in eV per formula unit: -49.504
Size of the total moment in μB/f.u.: 0.000

abc: 7.557 4.373 7.588
angles: 90.00 109.14 90.00
Fractional coordinates of all 8 atoms:
Ac  0.234  0.000  0.230
Ac  0.238  0.500  0.770
Ac  0.762  0.500  0.230
Ac  0.766  0.000  0.770
As  0.000  0.000  0.500
As  0.500  0.500  0.500
P  0.500  0.000  0.000
N  0.000  0.500  0.000